HfSeBr2F: relaxed, PBE.

a = 5.261 Å, b = 5.261 Å, c = 3.911 Å
α = 90.00°, β = 90.00°, γ = 90.00°
Sites, in units of the cell vectors:
Hf 0.000 0.000 0.000
Se 0.500 0.500 0.000
Br 0.000 0.500 0.500
Br 0.500 0.000 0.500
F 0.500 0.500 0.500

Values from the calculation:
Space group: P4/mmm, No. 123

***

Hf2TeBrF: relaxed, PBE.

a = 4.621 Å, b = 4.621 Å, c = 4.903 Å
α = 90.00°, β = 90.00°, γ = 90.00°
Sites, in units of the cell vectors:
Hf 0.000 0.500 0.000
Hf 0.500 0.000 0.000
Te 0.000 0.000 0.500
Br 0.500 0.500 0.500
F 0.500 0.500 0.000

Values from the calculation:
Space group: P4/mmm, No. 123

***

HfTiBrF2: relaxed, PBE.

a = 3.928 Å, b = 3.928 Å, c = 5.864 Å
α = 90.00°, β = 90.00°, γ = 90.00°
Sites, in units of the cell vectors:
Hf 0.000 0.000 0.000
Ti 0.000 0.000 0.500
Br 0.500 0.500 0.000
F 0.000 0.500 0.500
F 0.500 0.000 0.500

Values from the calculation:
Space group: P4/mmm, No. 123

***

no.,ΔE_f (raw) (meV per atom),Fermi-level density of states (states/eV per cell)
1,43,2.42
2,-370,3.82
3,-1509,3.98